(1)
# Ac2La3PmS6

A relaxed structure of Ac2La3PmS6 (GGA-PBE, the Alexandria database).

Cell: 7.260 7.260 7.252 Å, 99.65 99.65 120.06°
Element x y z (fractional)
1 Ac 0.166 0.834 0.000
2 Ac 0.834 0.166 0.000
3 La 0.000 0.000 0.500
4 La 0.331 0.669 0.500
5 La 0.669 0.331 0.500
6 Pm 0.500 0.500 0.000
7 S 0.092 0.416 0.747
8 S 0.261 0.261 0.255
9 S 0.416 0.092 0.747
10 S 0.584 0.908 0.253
11 S 0.739 0.739 0.745
12 S 0.908 0.584 0.253

Theoretical density (kg/m³): 6437
DOS(E_F) (states/eV/atom): 0.488
VASP energy (eV/f.u.): -77.6
Energy relative to the elements, uncorrected (eV per formula unit): -25.04

(2)
# Ac4La3PmS8

A relaxed structure of Ac4La3PmS8 (GGA-PBE, the Alexandria database).

Cell: 8.442 8.442 8.442 Å, 59.87 59.87 59.87°
Element x y z (fractional)
1 Ac 0.000 0.000 0.000
2 Ac 0.000 0.500 0.500
3 Ac 0.500 0.000 0.500
4 Ac 0.500 0.500 0.000
5 La 0.000 0.000 0.500
6 La 0.000 0.500 0.000
7 La 0.500 0.000 0.000
8 Pm 0.500 0.500 0.500
9 S 0.247 0.247 0.247
10 S 0.250 0.744 0.744
11 S 0.256 0.256 0.750
12 S 0.256 0.750 0.256
13 S 0.744 0.250 0.744
14 S 0.744 0.744 0.250
15 S 0.750 0.256 0.256
16 S 0.753 0.753 0.753

Theoretical density (kg/m³): 6757
DOS(E_F) (states/eV/atom): 0.513
VASP energy (eV/f.u.): -102.0
Energy relative to the elements, uncorrected (eV per formula unit): -33.05

(3)
# AcLa2PmSb4

A relaxed structure of AcLa2PmSb4 (GGA-PBE, the Alexandria database).

Cell: 8.032 4.644 8.039 Å, 90.00 109.45 90.00°
Element x y z (fractional)
1 Ac 0.000 0.000 0.000
2 La 0.500 0.000 0.500
3 La 0.500 0.500 0.000
4 Pm 0.000 0.500 0.500
5 Sb 0.249 0.000 0.743
6 Sb 0.255 0.500 0.259
7 Sb 0.745 0.500 0.741
8 Sb 0.751 0.000 0.257

Theoretical density (kg/m³): 6677
DOS(E_F) (states/eV/atom): 0.109
VASP energy (eV/f.u.): -45.0
Energy relative to the elements, uncorrected (eV per formula unit): -9.80

(4)
# AcLaPmSb

A relaxed structure of AcLaPmSb (GGA-PBE, the Alexandria database).

Cell: 5.694 5.694 5.694 Å, 60.00 60.00 60.00°
Element x y z (fractional)
1 Ac 0.000 0.000 0.000
2 La 0.250 0.250 0.250
3 Pm 0.750 0.750 0.750
4 Sb 0.500 0.500 0.500

Theoretical density (kg/m³): 8048
DOS(E_F) (states/eV/atom): 0.628
VASP energy (eV/f.u.): -19.1
Energy relative to the elements, uncorrected (eV per formula unit): -1.23

(5)
# AcLaPm2Sb4

A relaxed structure of AcLaPm2Sb4 (GGA-PBE, the Alexandria database).

Cell: 7.975 4.607 7.978 Å, 90.00 109.45 90.00°
Element x y z (fractional)
1 Ac 0.000 0.000 0.000
2 La 0.500 0.500 0.000
3 Pm 0.000 0.500 0.500
4 Pm 0.500 0.000 0.500
5 Sb 0.251 0.000 0.740
6 Sb 0.259 0.500 0.263
7 Sb 0.741 0.500 0.737
8 Sb 0.749 0.000 0.260

Theoretical density (kg/m³): 6866
DOS(E_F) (states/eV/atom): 0.121
VASP energy (eV/f.u.): -44.7
Energy relative to the elements, uncorrected (eV per formula unit): -9.65

(6)
# Ac2LaPmSb4

A relaxed structure of Ac2LaPmSb4 (GGA-PBE, the Alexandria database).

Cell: 8.105 4.683 8.112 Å, 90.00 109.44 90.00°
Element x y z (fractional)
1 Ac 0.000 0.000 0.000
2 Ac 0.500 0.500 0.000
3 La 0.000 0.500 0.500
4 Pm 0.500 0.000 0.500
5 Sb 0.249 0.000 0.738
6 Sb 0.258 0.500 0.264
7 Sb 0.742 0.500 0.736
8 Sb 0.751 0.000 0.262

Theoretical density (kg/m³): 7005
DOS(E_F) (states/eV/atom): 0.107
VASP energy (eV/f.u.): -44.1
Energy relative to the elements, uncorrected (eV per formula unit): -9.71

(7)
# AcLa5Pm2Sc

A relaxed structure of AcLa5Pm2Sc (GGA-PBE, the Alexandria database).

Cell: 9.300 9.300 7.581 Å, 90.00 90.00 90.00°
Element x y z (fractional)
1 Ac 0.000 0.000 0.000
2 Ac 0.500 0.500 0.000
3 La 0.000 0.000 0.500
4 La 0.206 0.294 0.222
5 La 0.206 0.294 0.778
6 La 0.294 0.794 0.222
7 La 0.294 0.794 0.778
8 La 0.500 0.500 0.500
9 La 0.706 0.206 0.222
10 La 0.706 0.206 0.778
11 La 0.794 0.706 0.222
12 La 0.794 0.706 0.778
13 Pm 0.114 0.614 0.500
14 Pm 0.386 0.114 0.500
15 Pm 0.614 0.886 0.500
16 Pm 0.886 0.386 0.500
17 Sc 0.000 0.500 0.000
18 Sc 0.500 0.000 0.000

Theoretical density (kg/m³): 6365
Calculated formation energy (meV/atom): 252.5
DOS(E_F) (states/eV/atom): 1.780
VASP energy (eV/f.u.): -42.3

(8)
# AcLa3Pm2Se6

A relaxed structure of AcLa3Pm2Se6 (GGA-PBE, the Alexandria database).

Cell: 7.462 7.462 7.443 Å, 99.65 99.65 120.14°
Element x y z (fractional)
1 Ac 0.000 0.000 0.000
2 La 0.163 0.837 0.500
3 La 0.500 0.500 0.500
4 La 0.837 0.163 0.500
5 Pm 0.333 0.667 0.000
6 Pm 0.667 0.333 0.000
7 Se 0.083 0.426 0.249
8 Se 0.262 0.262 0.755
9 Se 0.426 0.083 0.249
10 Se 0.574 0.917 0.751
11 Se 0.738 0.738 0.245
12 Se 0.917 0.574 0.751

Theoretical density (kg/m³): 6923
DOS(E_F) (states/eV/atom): 0.530
VASP energy (eV/f.u.): -72.3
Energy relative to the elements, uncorrected (eV per formula unit): -23.04

Copy entry 2 word for word.
# Ac4La3PmS8

A relaxed structure of Ac4La3PmS8 (GGA-PBE, the Alexandria database).

Cell: 8.442 8.442 8.442 Å, 59.87 59.87 59.87°
Element x y z (fractional)
1 Ac 0.000 0.000 0.000
2 Ac 0.000 0.500 0.500
3 Ac 0.500 0.000 0.500
4 Ac 0.500 0.500 0.000
5 La 0.000 0.000 0.500
6 La 0.000 0.500 0.000
7 La 0.500 0.000 0.000
8 Pm 0.500 0.500 0.500
9 S 0.247 0.247 0.247
10 S 0.250 0.744 0.744
11 S 0.256 0.256 0.750
12 S 0.256 0.750 0.256
13 S 0.744 0.250 0.744
14 S 0.744 0.744 0.250
15 S 0.750 0.256 0.256
16 S 0.753 0.753 0.753

Theoretical density (kg/m³): 6757
DOS(E_F) (states/eV/atom): 0.513
VASP energy (eV/f.u.): -102.0
Energy relative to the elements, uncorrected (eV per formula unit): -33.05